Here is a geometry-optimized TlAg2HAu structure from Alexandria via LeMat-Bulk. Energies are from PBE.

As for the final energy: -13.6 eV/f.u. The calculated volume comes out at 17.09 Å³ per atom. For the magnetization, the calculation gives 0.00 μB/f.u.

It has space group P4/mmm (No. 123), with a = 4.8021 Å, b = 4.8021 Å, c = 3.7058 Å, α = 90.00°, β = 90.00° and γ = 90.00°. The asymmetric unit holds Tl at (0.0000, 0.0000, 0.0000), Ag at (0.0000, 0.5000, 0.5000), H at (0.5000, 0.5000, 0.5000) and Au at (0.5000, 0.5000, 0.0000).